1.
A plane-wave DFT calculation with PBE was carried out for an optimized crystal structure of BeTeSN2.

Geometry as CIF:
```
data_BeTeSN2
_chemical_formula_sum 'Be1 Te1 S1 N2'
_symmetry_space_group_name_H-M 'P 4/m m m'
_symmetry_Int_Tables_number 123
_symmetry_space_group_name_Hall '-P 4 2'
_cell_length_a 3.8368
_cell_length_b 3.8368
_cell_length_c 5.6328
_cell_angle_alpha 90.00
_cell_angle_beta 90.00
_cell_angle_gamma 90.00
loop_
_atom_site_label
_atom_site_fract_x
_atom_site_fract_y
_atom_site_fract_z
Be1 0.0000 0.0000 0.0000
Te1 0.5000 0.5000 0.5000
S1 0.5000 0.5000 0.0000
N1 0.0000 0.5000 0.5000
```

Summary:
**Formation energy without anion corrections**: 7.745 eV per formula unit
**Theoretical density**: 3.94 g cm⁻³
**Total energy**: -3.980 eV per atom

---

2.
A plane-wave DFT calculation with PBE was carried out for an optimized crystal structure of BeTe2SN.

Geometry as CIF:
```
data_BeTe2SN
_chemical_formula_sum 'Be1 Te2 S1 N1'
_symmetry_space_group_name_H-M 'P 4/m m m'
_symmetry_Int_Tables_number 123
_symmetry_space_group_name_Hall '-P 4 2'
_cell_length_a 5.3648
_cell_length_b 5.3648
_cell_length_c 3.1338
_cell_angle_alpha 90.00
_cell_angle_beta 90.00
_cell_angle_gamma 90.00
loop_
_atom_site_label
_atom_site_fract_x
_atom_site_fract_y
_atom_site_fract_z
Be1 0.0000 0.0000 0.0000
Te1 0.0000 0.5000 0.0000
S1 0.5000 0.5000 0.5000
N1 0.0000 0.0000 0.5000
```

Summary:
**Formation energy without anion corrections**: 2.758 eV per formula unit
**Theoretical density**: 5.71 g cm⁻³
**Total energy**: -3.941 eV per atom

---

3.
A plane-wave DFT calculation with PBE was carried out for an optimized crystal structure of BeTlS2N.

Geometry as CIF:
```
data_BeTlS2N
_chemical_formula_sum 'Be1 Tl1 S2 N1'
_symmetry_space_group_name_H-M 'P 4/m m m'
_symmetry_Int_Tables_number 123
_symmetry_space_group_name_Hall '-P 4 2'
_cell_length_a 5.0097
_cell_length_b 5.0097
_cell_length_c 3.2173
_cell_angle_alpha 90.00
_cell_angle_beta 90.00
_cell_angle_gamma 90.00
loop_
_atom_site_label
_atom_site_fract_x
_atom_site_fract_y
_atom_site_fract_z
Be1 0.0000 0.0000 0.0000
Tl1 0.5000 0.5000 0.5000
S1 0.0000 0.5000 0.0000
N1 0.0000 0.0000 0.5000
```

Summary:
**Formation energy without anion corrections**: 2.612 eV per formula unit
**Theoretical density**: 6.00 g cm⁻³
**Total energy**: -4.012 eV per atom

---

4.
A plane-wave DFT calculation with PBE was carried out for an optimized crystal structure of BeTlS2N.

Geometry as CIF:
```
data_BeTlS2N
_chemical_formula_sum 'Be1 Tl1 S2 N1'
_symmetry_space_group_name_H-M 'P 4/m m m'
_symmetry_Int_Tables_number 123
_symmetry_space_group_name_Hall '-P 4 2'
_cell_length_a 5.2102
_cell_length_b 5.2102
_cell_length_c 4.2258
_cell_angle_alpha 90.00
_cell_angle_beta 90.00
_cell_angle_gamma 90.00
loop_
_atom_site_label
_atom_site_fract_x
_atom_site_fract_y
_atom_site_fract_z
Be1 0.0000 0.0000 0.0000
Tl1 0.5000 0.5000 0.5000
S1 0.0000 0.5000 0.5000
N1 0.5000 0.5000 0.0000
```

Summary:
**Formation energy without anion corrections**: 8.482 eV per formula unit
**Theoretical density**: 4.22 g cm⁻³
**Total energy**: -2.838 eV per atom

---

5.
A plane-wave DFT calculation with PBE was carried out for an optimized crystal structure of BeVSN2.

Geometry as CIF:
```
data_BeVSN2
_chemical_formula_sum 'Be1 V1 S1 N2'
_symmetry_space_group_name_H-M 'P 4/m m m'
_symmetry_Int_Tables_number 123
_symmetry_space_group_name_Hall '-P 4 2'
_cell_length_a 3.3807
_cell_length_b 3.3807
_cell_length_c 4.6183
_cell_angle_alpha 90.00
_cell_angle_beta 90.00
_cell_angle_gamma 90.00
loop_
_atom_site_label
_atom_site_fract_x
_atom_site_fract_y
_atom_site_fract_z
Be1 0.0000 0.0000 0.0000
V1 0.5000 0.5000 0.5000
S1 0.0000 0.0000 0.5000
N1 0.0000 0.5000 0.0000
```

Summary:
**Formation energy without anion corrections**: 4.020 eV per formula unit
**Theoretical density**: 3.78 g cm⁻³
**Total energy**: -5.921 eV per atom

---

6.
A plane-wave DFT calculation with PBE was carried out for an optimized crystal structure of BeVSN2.

Geometry as CIF:
```
data_BeVSN2
_chemical_formula_sum 'Be1 V1 S1 N2'
_symmetry_space_group_name_H-M 'P 4/m m m'
_symmetry_Int_Tables_number 123
_symmetry_space_group_name_Hall '-P 4 2'
_cell_length_a 3.6311
_cell_length_b 3.6311
_cell_length_c 5.1501
_cell_angle_alpha 90.00
_cell_angle_beta 90.00
_cell_angle_gamma 90.00
loop_
_atom_site_label
_atom_site_fract_x
_atom_site_fract_y
_atom_site_fract_z
Be1 0.0000 0.0000 0.0000
V1 0.5000 0.5000 0.5000
S1 0.5000 0.5000 0.0000
N1 0.0000 0.5000 0.5000
```

Summary:
**Formation energy without anion corrections**: 2.144 eV per formula unit
**Theoretical density**: 2.94 g cm⁻³
**Total energy**: -6.296 eV per atom

---

7.
A plane-wave DFT calculation with PBE was carried out for an optimized crystal structure of BeV2SN.

Geometry as CIF:
```
data_BeV2SN
_chemical_formula_sum 'Be1 V2 S1 N1'
_symmetry_space_group_name_H-M 'P 4/m m m'
_symmetry_Int_Tables_number 123
_symmetry_space_group_name_Hall '-P 4 2'
_cell_length_a 4.3170
_cell_length_b 4.3170
_cell_length_c 3.0022
_cell_angle_alpha 90.00
_cell_angle_beta 90.00
_cell_angle_gamma 90.00
loop_
_atom_site_label
_atom_site_fract_x
_atom_site_fract_y
_atom_site_fract_z
Be1 0.0000 0.0000 0.0000
V1 0.0000 0.5000 0.0000
S1 0.5000 0.5000 0.5000
N1 0.0000 0.0000 0.5000
```

Summary:
**Formation energy without anion corrections**: 1.259 eV per formula unit
**Theoretical density**: 4.66 g cm⁻³
**Total energy**: -6.631 eV per atom

---

8.
A plane-wave DFT calculation with PBE was carried out for an optimized crystal structure of BeWSN2.

Geometry as CIF:
```
data_BeWSN2
_chemical_formula_sum 'Be1 W1 S1 N2'
_symmetry_space_group_name_H-M 'P 4/m m m'
_symmetry_Int_Tables_number 123
_symmetry_space_group_name_Hall '-P 4 2'
_cell_length_a 3.8356
_cell_length_b 3.8356
_cell_length_c 5.0669
_cell_angle_alpha 90.00
_cell_angle_beta 90.00
_cell_angle_gamma 90.00
loop_
_atom_site_label
_atom_site_fract_x
_atom_site_fract_y
_atom_site_fract_z
Be1 0.0000 0.0000 0.0000
W1 0.5000 0.5000 0.5000
S1 0.5000 0.5000 0.0000
N1 0.0000 0.5000 0.5000
```

Summary:
**Formation energy without anion corrections**: 2.832 eV per formula unit
**Theoretical density**: 5.63 g cm⁻³
**Total energy**: -6.925 eV per atom

---

9.
A plane-wave DFT calculation with PBE was carried out for an optimized crystal structure of BeWSN2.

Geometry as CIF:
```
data_BeWSN2
_chemical_formula_sum 'Be1 W1 S1 N2'
_symmetry_space_group_name_H-M 'P 4/m m m'
_symmetry_Int_Tables_number 123
_symmetry_space_group_name_Hall '-P 4 2'
_cell_length_a 3.4804
_cell_length_b 3.4804
_cell_length_c 4.3311
_cell_angle_alpha 90.00
_cell_angle_beta 90.00
_cell_angle_gamma 90.00
loop_
_atom_site_label
_atom_site_fract_x
_atom_site_fract_y
_atom_site_fract_z
Be1 0.0000 0.0000 0.0000
W1 0.5000 0.5000 0.5000
S1 0.0000 0.0000 0.5000
N1 0.0000 0.5000 0.0000
```

Summary:
**Formation energy without anion corrections**: 5.810 eV per formula unit
**Theoretical density**: 8.01 g cm⁻³
**Total energy**: -6.329 eV per atom

---

10.
A plane-wave DFT calculation with PBE was carried out for an optimized crystal structure of YBeS2N.

Geometry as CIF:
```
data_YBeS2N
_chemical_formula_sum 'Y1 Be1 S2 N1'
_symmetry_space_group_name_H-M 'P 4/m m m'
_symmetry_Int_Tables_number 123
_symmetry_space_group_name_Hall '-P 4 2'
_cell_length_a 5.2721
_cell_length_b 5.2721
_cell_length_c 4.3971
_cell_angle_alpha 90.00
_cell_angle_beta 90.00
_cell_angle_gamma 90.00
loop_
_atom_site_label
_atom_site_fract_x
_atom_site_fract_y
_atom_site_fract_z
Y1 0.0000 0.0000 0.0000
Be1 0.5000 0.5000 0.5000
S1 0.0000 0.5000 0.0000
N1 0.0000 0.0000 0.5000
```

Summary:
**Formation energy without anion corrections**: 3.276 eV per formula unit
**Theoretical density**: 2.39 g cm⁻³
**Total energy**: -4.699 eV per atom

---

11.
A plane-wave DFT calculation with PBE was carried out for an optimized crystal structure of YBeS2N.

Geometry as CIF:
```
data_YBeS2N
_chemical_formula_sum 'Y1 Be1 S2 N1'
_symmetry_space_group_name_H-M 'P 4/m m m'
_symmetry_Int_Tables_number 123
_symmetry_space_group_name_Hall '-P 4 2'
_cell_length_a 4.6647
_cell_length_b 4.6647
_cell_length_c 3.4297
_cell_angle_alpha 90.00
_cell_angle_beta 90.00
_cell_angle_gamma 90.00
loop_
_atom_site_label
_atom_site_fract_x
_atom_site_fract_y
_atom_site_fract_z
Y1 0.0000 0.0000 0.0000
Be1 0.5000 0.5000 0.5000
S1 0.0000 0.5000 0.5000
N1 0.5000 0.5000 0.0000
```

Summary:
**Formation energy without anion corrections**: -2.582 eV per formula unit
**Theoretical density**: 3.92 g cm⁻³
**Total energy**: -5.871 eV per atom

---

12.
A plane-wave DFT calculation with PBE was carried out for an optimized crystal structure of BeZnS2N.

Geometry as CIF:
```
data_BeZnS2N
_chemical_formula_sum 'Be1 Zn1 S2 N1'
_symmetry_space_group_name_H-M 'P 4/m m m'
_symmetry_Int_Tables_number 123
_symmetry_space_group_name_Hall '-P 4 2'
_cell_length_a 4.7758
_cell_length_b 4.7758
_cell_length_c 3.7136
_cell_angle_alpha 90.00
_cell_angle_beta 90.00
_cell_angle_gamma 90.00
loop_
_atom_site_label
_atom_site_fract_x
_atom_site_fract_y
_atom_site_fract_z
Be1 0.0000 0.0000 0.0000
Zn1 0.5000 0.5000 0.5000
S1 0.0000 0.5000 0.5000
N1 0.5000 0.5000 0.0000
```

Summary:
**Formation energy without anion corrections**: 6.202 eV per formula unit
**Theoretical density**: 2.99 g cm⁻³
**Total energy**: -3.076 eV per atom

---

13.
A plane-wave DFT calculation with PBE was carried out for an optimized crystal structure of BeZnSN2.

Geometry as CIF:
```
data_BeZnSN2
_chemical_formula_sum 'Be1 Zn1 S1 N2'
_symmetry_space_group_name_H-M 'P 4/m m m'
_symmetry_Int_Tables_number 123
_symmetry_space_group_name_Hall '-P 4 2'
_cell_length_a 3.2958
_cell_length_b 3.2958
_cell_length_c 7.3129
_cell_angle_alpha 90.00
_cell_angle_beta 90.00
_cell_angle_gamma 90.00
loop_
_atom_site_label
_atom_site_fract_x
_atom_site_fract_y
_atom_site_fract_z
Be1 0.0000 0.0000 0.0000
Zn1 0.5000 0.5000 0.5000
S1 0.0000 0.0000 0.5000
N1 0.0000 0.5000 0.0000
```

Summary:
**Formation energy without anion corrections**: 4.352 eV per formula unit
**Theoretical density**: 2.81 g cm⁻³
**Total energy**: -4.285 eV per atom

---

14.
A plane-wave DFT calculation with PBE was carried out for an optimized crystal structure of BeZnS2N.

Geometry as CIF:
```
data_BeZnS2N
_chemical_formula_sum 'Be1 Zn1 S2 N1'
_symmetry_space_group_name_H-M 'P 4/m m m'
_symmetry_Int_Tables_number 123
_symmetry_space_group_name_Hall '-P 4 2'
_cell_length_a 4.7661
_cell_length_b 4.7661
_cell_length_c 3.0936
_cell_angle_alpha 90.00
_cell_angle_beta 90.00
_cell_angle_gamma 90.00
loop_
_atom_site_label
_atom_site_fract_x
_atom_site_fract_y
_atom_site_fract_z
Be1 0.0000 0.0000 0.0000
Zn1 0.5000 0.5000 0.5000
S1 0.0000 0.5000 0.0000
N1 0.0000 0.0000 0.5000
```

Summary:
**Formation energy without anion corrections**: 2.646 eV per formula unit
**Theoretical density**: 3.60 g cm⁻³
**Total energy**: -3.787 eV per atom

---

Listing density of states at the Fermi level for the structures above in their given order: 0.105, 0.991, 0.892, 0.579, 0.887, 0.332, 0.953, 0.279, 0.457, 0.529, 0.492, 0.446, 0.401, 0.599 states/eV/atom.